A plane-wave DFT calculation with PBE-GGA was carried out for crystalline Dy8TmAl2 at its relaxed geometry.

a b c (Å): 5.170 8.192 8.584
angles (deg): 113.21 107.53 90.00
Element x y z (fractional)
Dy  0.610  0.470  0.221
Dy  0.312  0.048  0.624
Dy  0.152  0.219  0.304
Dy  0.056  0.734  0.112
Dy  0.848  0.781  0.696
Dy  0.688  0.952  0.376
Dy  0.390  0.530  0.779
Dy  0.944  0.266  0.888
Tm  0.500  0.000  0.000
Al  0.224  0.641  0.448
Al  0.776  0.359  0.552

Summary:
* energy: -4.5398 eV/atom



A plane-wave DFT calculation with PBE-GGA was carried out for crystalline Dy7TmAl4 at its relaxed geometry.

a b c (Å): 5.479 9.036 7.447
angles (deg): 77.31 68.41 72.35
Element x y z (fractional)
Dy  0.789  0.879  0.544
Dy  0.211  0.121  0.456
Dy  0.065  0.611  0.258
Dy  0.935  0.389  0.742
Dy  0.295  0.649  0.762
Dy  0.500  0.000  0.000
Dy  0.705  0.351  0.238
Tm  0.000  0.000  0.000
Al  0.554  0.239  0.654
Al  0.446  0.761  0.346
Al  0.676  0.667  0.980
Al  0.324  0.333  0.020

Summary:
* energy: -4.3548 eV/atom



A plane-wave DFT calculation with PBE-GGA was carried out for crystalline DyTm5Al3 at its relaxed geometry.

a b c (Å): 6.561 8.969 8.969
angles (deg): 120.00 90.00 90.00
Element x y z (fractional)
Dy  0.000  0.000  0.000
Dy  0.500  0.000  0.000
Tm  0.000  0.667  0.333
Tm  0.500  0.333  0.667
Tm  0.000  0.333  0.667
Tm  0.500  0.667  0.333
Tm  0.750  0.666  0.666
Tm  0.750  0.000  0.334
Tm  0.750  0.334  0.000
Tm  0.250  0.334  0.334
Tm  0.250  0.000  0.666
Tm  0.250  0.666  0.000
Al  0.750  0.335  0.335
Al  0.750  0.000  0.665
Al  0.750  0.665  0.000
Al  0.250  0.665  0.665
Al  0.250  0.000  0.335
Al  0.250  0.335  0.000

Summary:
* energy: -4.5205 eV/atom



A plane-wave DFT calculation with PBE-GGA was carried out for crystalline DyTm5Al6 at its relaxed geometry.

a b c (Å): 5.041 7.083 7.979
angles (deg): 90.00 71.58 90.00
Element x y z (fractional)
Tm  0.666  0.500  0.668
Tm  0.333  0.000  0.334
Tm  0.000  0.500  0.000
Tm  0.667  0.000  0.666
Tm  0.334  0.500  0.332
Al  0.832  0.748  0.335
Al  0.832  0.252  0.335
Al  0.500  0.251  0.000
Al  0.500  0.749  0.000
Al  0.168  0.748  0.665
Al  0.168  0.252  0.665
Dy  0.000  0.000  0.000

Summary:
* energy: -4.5085 eV/atom



A plane-wave DFT calculation with PBE-GGA was carried out for crystalline Dy5TmAl3 at its relaxed geometry.

a b c (Å): 6.614 9.048 9.049
angles (deg): 120.00 90.00 90.00
Element x y z (fractional)
Dy  0.000  0.667  0.334
Dy  0.500  0.333  0.666
Dy  0.000  0.333  0.666
Dy  0.500  0.667  0.334
Dy  0.750  0.667  0.667
Dy  0.750  0.000  0.333
Dy  0.750  0.333  0.000
Dy  0.250  0.333  0.333
Dy  0.250  0.000  0.667
Dy  0.250  0.667  0.000
Tm  0.000  0.000  0.000
Tm  0.500  0.000  0.000
Al  0.750  0.332  0.332
Al  0.750  0.000  0.668
Al  0.750  0.668  0.000
Al  0.250  0.668  0.668
Al  0.250  0.000  0.332
Al  0.250  0.332  0.000

Summary:
* energy: -4.5744 eV/atom



A plane-wave DFT calculation with PBE-GGA was carried out for crystalline Dy12TmAl3 at its relaxed geometry.

a b c (Å): 4.791 4.791 19.465
angles (deg): 90.00 90.00 90.00
Element x y z (fractional)
Dy  0.500  0.500  0.000
Dy  0.500  0.500  0.256
Dy  0.500  0.500  0.500
Dy  0.500  0.500  0.744
Dy  0.500  0.000  0.133
Dy  0.500  0.000  0.378
Dy  0.500  0.000  0.622
Dy  0.500  0.000  0.867
Dy  0.000  0.500  0.133
Dy  0.000  0.500  0.378
Dy  0.000  0.500  0.622
Dy  0.000  0.500  0.867
Tm  0.000  0.000  0.000
Al  0.000  0.000  0.257
Al  0.000  0.000  0.500
Al  0.000  0.000  0.743

Summary:
* energy: -4.5608 eV/atom



A plane-wave DFT calculation with PBE-GGA was carried out for crystalline Dy3TmAl8 at its relaxed geometry.

a b c (Å): 5.541 5.541 9.640
angles (deg): 73.30 73.30 60.00
Element x y z (fractional)
Dy  0.375  0.375  0.875
Dy  0.000  0.000  0.001
Dy  0.500  0.500  0.500
Tm  0.875  0.875  0.374
Al  0.937  0.437  0.188
Al  0.438  0.938  0.687
Al  0.437  0.437  0.188
Al  0.938  0.938  0.687
Al  0.188  0.188  0.437
Al  0.687  0.687  0.938
Al  0.437  0.937  0.188
Al  0.938  0.438  0.687

Summary:
* energy: -4.5320 eV/atom



A plane-wave DFT calculation with PBE-GGA was carried out for crystalline DyTm2Al2 at its relaxed geometry.

a b c (Å): 3.593 5.110 13.373
angles (deg): 90.00 97.72 90.00
Element x y z (fractional)
Dy  0.855  0.750  0.708
Dy  0.145  0.250  0.292
Tm  0.047  0.750  0.094
Tm  0.953  0.250  0.906
Tm  0.234  0.750  0.468
Tm  0.766  0.250  0.532
Al  0.640  0.750  0.281
Al  0.360  0.250  0.719
Al  0.451  0.750  0.902
Al  0.549  0.250  0.098

Summary:
* energy: -4.5229 eV/atom



A plane-wave DFT calculation with PBE-GGA was carried out for crystalline DyTm2Al2Zn2 at its relaxed geometry.

a b c (Å): 4.495 4.495 9.268
angles (deg): 75.97 75.97 60.00
Element x y z (fractional)
Dy  0.000  0.000  0.000
Tm  0.128  0.128  0.616
Tm  0.872  0.872  0.384
Al  0.738  0.738  0.786
Al  0.262  0.262  0.214
Zn  0.600  0.600  0.200
Zn  0.400  0.400  0.800

Summary:
* energy: -3.6706 eV/atom



A plane-wave DFT calculation with PBE-GGA was carried out for crystalline DyTmAlZn at its relaxed geometry.

a b c (Å): 5.043 5.043 5.043
angles (deg): 60.00 60.00 60.00
Element x y z (fractional)
Zn  0.000  0.000  0.000
Tm  0.250  0.250  0.250
Al  0.500  0.500  0.500
Dy  0.750  0.750  0.750

Summary:
* energy: -3.8965 eV/atom



A plane-wave DFT calculation with PBE-GGA was carried out for crystalline DyTmAlZn at its relaxed geometry.

a b c (Å): 3.547 3.547 7.180
angles (deg): 90.00 90.00 90.00
Element x y z (fractional)
Dy  0.500  0.500  0.603
Tm  0.500  0.500  0.113
Al  0.000  0.000  0.862
Zn  0.000  0.000  0.350

Summary:
* energy: -3.9049 eV/atom



A plane-wave DFT calculation with PBE-GGA was carried out for crystalline DyAl10V2 at its relaxed geometry.

a b c (Å): 5.315 6.957 6.974
angles (deg): 81.63 67.60 67.54
Element x y z (fractional)
Dy  0.000  0.000  0.000
Al  0.350  0.635  0.664
Al  0.650  0.365  0.336
Al  0.986  0.365  0.664
Al  0.014  0.635  0.336
Al  0.000  0.000  0.500
Al  0.500  0.000  0.500
Al  0.281  0.224  0.214
Al  0.719  0.776  0.786
Al  0.505  0.776  0.214
Al  0.495  0.224  0.786
V  0.000  0.500  0.000
V  0.500  0.500  0.000

Summary:
* energy: -4.8261 eV/atom



A plane-wave DFT calculation with PBE-GGA was carried out for crystalline DyAl2V at its relaxed geometry.

a b c (Å): 3.363 3.363 6.582
angles (deg): 90.00 90.00 90.00
Each line ends with the local moment (μB).
Element x y z (fractional)
V  0.500  0.500  0.000  0.37
Al  0.000  0.000  0.805  0.00
Al  0.000  0.000  0.195  0.00
Dy  0.500  0.500  0.500  -0.05

Summary:
* energy: -5.4576 eV/atom



A plane-wave DFT calculation with PBE-GGA was carried out for crystalline Dy2AlV at its relaxed geometry.

a b c (Å): 3.289 3.289 10.738
angles (deg): 81.19 81.19 60.00
Each line ends with the local moment (μB).
Element x y z (fractional)
V  0.000  0.000  0.000  2.51
Al  0.500  0.500  0.500  0.00
Dy  0.091  0.091  0.728  0.06
Dy  0.909  0.909  0.272  0.06

Summary:
* energy: -5.0111 eV/atom



A plane-wave DFT calculation with PBE-GGA was carried out for crystalline Dy2AlV at its relaxed geometry.

a b c (Å): 3.708 5.019 5.019
angles (deg): 90.00 90.00 90.00
Each line ends with the local moment (μB).
Element x y z (fractional)
V  0.500  0.500  0.500  2.50
Al  0.500  0.000  0.000  -0.01
Dy  0.000  0.000  0.500  0.25
Dy  0.000  0.500  0.000  0.25

Summary:
* energy: -5.5440 eV/atom



A plane-wave DFT calculation with PBE-GGA was carried out for crystalline DyAlV at its relaxed geometry.

a b c (Å): 4.578 6.853 6.853
angles (deg): 120.00 90.00 90.00
Element x y z (fractional)
Al  0.500  0.667  0.333
Al  0.500  0.333  0.667
Al  0.000  0.000  0.000
Dy  0.000  0.568  0.568
Dy  0.000  0.000  0.432
Dy  0.000  0.432  0.000
V  0.500  0.000  0.799
V  0.500  0.799  0.000
V  0.500  0.201  0.201

Summary:
* energy: -5.8824 eV/atom



A plane-wave DFT calculation with PBE-GGA was carried out for crystalline Dy2AlV at its relaxed geometry.

a b c (Å): 5.083 5.083 5.083
angles (deg): 60.00 60.00 60.00
Each line ends with the local moment (μB).
Element x y z (fractional)
V  0.500  0.500  0.500  2.50
Al  0.000  0.000  0.000  -0.04
Dy  0.250  0.250  0.250  0.20
Dy  0.750  0.750  0.750  0.20

Summary:
* energy: -5.5570 eV/atom



A plane-wave DFT calculation with PBE-GGA was carried out for crystalline DyAl4V at its relaxed geometry.

a b c (Å): 5.306 5.306 5.306
angles (deg): 60.00 60.00 60.00
Each line ends with the local moment (μB).
Element x y z (fractional)
V  0.000  0.000  0.000  0.30
Al  0.626  0.626  0.123  -0.01
Al  0.626  0.123  0.626  -0.01
Al  0.626  0.626  0.626  -0.01
Al  0.123  0.626  0.626  -0.01
Dy  0.250  0.250  0.250  -0.04

Summary:
* energy: -4.9964 eV/atom



Looking at ΔE_f for the records above, in order, we have -0.106; -0.050; -0.277; -0.391; -0.273; -0.128; -0.514; -0.317; -0.302; -0.374; -0.382; -0.190; -0.156; 0.505; -0.028; -0.061; -0.041; -0.215 eV/atom.